Below is a relaxed CdH12C2N2Cl4 crystal, with properties calculated at the GGA-PBE level.

The total energy is -4.53 eV per atom.

It has space group Cmce (No. 64), with a = 7.715 Å, b = 19.696 Å, c = 7.475 Å, α = 90.00°, β = 90.00° and γ = 90.00°. The distinct sites, in fractional coordinates, are Cd at (0.000, 0.000, 0.000), H at (0.000, 0.112, 0.349), H at (0.000, 0.183, 0.702), H at (0.107, 0.087, 0.538), H at (0.116, 0.210, 0.506), C at (0.000, 0.184, 0.556), N at (0.000, 0.113, 0.489), Cl at (0.000, 0.127, 0.067) and Cl at (0.250, 0.023, 0.750).